VASP calculation (PBE) on a relaxed structure of ErZrCo.

Calculated values
Space-group type ... No. 70
Crystal system ... orthorhombic
Magnetic moment ... 0.0 μB per formula unit
Formation enthalpy at 0 K ... -0.17 eV per atom
N(E_F) ... 1.05 states/eV/atom
Final energy ... -20.72 eV/f.u.

a b c (Å): 10.7475 9.8026 5.6770
angles (deg): 83.39 64.96 31.65
With the nearest neighbours (Å) after each atom.
Atoms (fractional coordinates):
Er 0.0305 0.7195 0.0305  4 Co 2.85, 3 Er 3.16-3.18
Er 0.2805 0.9695 0.2805  4 Co 2.85, 3 Er 3.16-3.18
Er 0.7195 0.0305 0.7195  4 Co 2.85, 3 Er 3.16-3.18
Er 0.9695 0.2805 0.9695  4 Co 2.85, 3 Er 3.16-3.18
Zr 0.2858 0.2858 0.4642  4 Co 2.62-2.92
Zr 0.4642 0.4642 0.2858  4 Co 2.62-2.92
Zr 0.5358 0.5358 0.7142  4 Co 2.62-2.92
Zr 0.7142 0.7142 0.5358  4 Co 2.62-2.92
Co 0.0000 0.0000 0.2500  4 Zr 2.62-2.92, 2 Co 2.84, 4 Er 2.85
Co 0.0000 0.0000 0.7500  4 Zr 2.62-2.92, 2 Co 2.84, 4 Er 2.85
Co 0.2500 0.2500 0.0000  4 Zr 2.62-2.92, 2 Co 2.84, 4 Er 2.85
Co 0.7500 0.7500 0.0000  4 Zr 2.62-2.92, 2 Co 2.84, 4 Er 2.85

VASP calculation (PBE) on a relaxed structure of Y5Ho2Tm3.

Calculated values
Space-group type ... No. 72
Crystal system ... orthorhombic
Magnetic moment ... 0.0 μB per formula unit
Formation enthalpy at 0 K ... 0.28 eV per atom
N(E_F) ... 1.51 states/eV/atom
Final energy ... -52.13 eV/f.u.

a b c (Å): 10.9132 10.9132 10.9132
angles (deg): 120.85 71.39 143.73
With the nearest neighbours (Å) after each atom.
Atoms (fractional coordinates):
Y 0.0667 0.7500 0.3167  1 Tm 3.25, 4 Y 3.34-3.40
Y 0.1712 0.1180 0.2892  1 Ho 3.08, 2 Y 3.34, 1 Tm 3.45
Y 0.2500 0.2500 0.0000  4 Ho 3.35, 6 Y 3.40-3.70
Y 0.3288 0.6180 0.9468  1 Ho 3.08, 2 Y 3.34, 1 Tm 3.45
Y 0.4333 0.7500 0.6833  1 Tm 3.25, 4 Y 3.34-3.40
Y 0.5667 0.2500 0.3167  1 Tm 3.25, 4 Y 3.34-3.40
Y 0.6712 0.3820 0.0532  1 Ho 3.08, 2 Y 3.34, 1 Tm 3.45
Y 0.7500 0.7500 0.0000  4 Ho 3.35, 6 Y 3.40-3.70
Y 0.8288 0.8820 0.7108  1 Ho 3.08, 2 Y 3.34, 1 Tm 3.45
Y 0.9333 0.2500 0.6833  1 Tm 3.25, 4 Y 3.34-3.40
Ho 0.0220 0.2654 0.2874  3 Tm 3.07-3.41, 3 Y 3.08-3.35
Ho 0.4780 0.7654 0.2433  3 Tm 3.07-3.41, 3 Y 3.08-3.35
Ho 0.5220 0.2346 0.7567  3 Tm 3.07-3.41, 3 Y 3.08-3.35
Ho 0.9780 0.7346 0.7126  3 Tm 3.07-3.41, 3 Y 3.08-3.35
Tm 0.1665 0.7975 0.9640  1 Ho 3.41, 6 Y 3.45-3.64
Tm 0.2500 0.7500 0.5000  4 Ho 3.07, 2 Y 3.25, 2 Tm 3.40
Tm 0.3335 0.2975 0.6310  1 Ho 3.41, 6 Y 3.45-3.64
Tm 0.6665 0.7025 0.3690  1 Ho 3.41, 6 Y 3.45-3.64
Tm 0.7500 0.2500 0.5000  4 Ho 3.07, 2 Y 3.25, 2 Tm 3.40
Tm 0.8335 0.2025 0.0360  1 Ho 3.41, 6 Y 3.45-3.64

VASP calculation (PBE) on a relaxed structure of La2Pm5Pr5.

Calculated values
Space-group type ... No. 12
Crystal system ... monoclinic
Magnetic moment ... 0.0 μB per formula unit
Formation enthalpy at 0 K ... 0.02 eV per atom
N(E_F) ... 1.75 states/eV/atom
Final energy ... -57.32 eV/f.u.

a b c (Å): 8.2731 8.2731 11.6974
angles (deg): 115.13 115.13 36.80
With the nearest neighbours (Å) after each atom.
Atoms (fractional coordinates):
La 0.0829 0.0829 0.2501  5 Pr 3.69-3.71, 7 Pm 3.70
La 0.9171 0.9171 0.7499  5 Pr 3.69-3.71, 7 Pm 3.70
Pm 0.3332 0.3332 0.4999  5 Pr 3.68-3.70, 4 Pm 3.69-3.70, 3 La 3.70
Pm 0.4163 0.4163 0.2504  7 Pr 3.68-3.70, 3 Pm 3.69-3.71, 2 La 3.70
Pm 0.5000 0.5000 0.0000  6 Pr 3.69-3.72, 4 La 3.70, 2 Pm 3.71
Pm 0.5837 0.5837 0.7496  7 Pr 3.68-3.70, 3 Pm 3.69-3.71, 2 La 3.70
Pm 0.6668 0.6668 0.5001  5 Pr 3.68-3.70, 4 Pm 3.69-3.70, 3 La 3.70
Pr 0.0000 0.0000 0.5000  2 Pr 3.68, 8 Pm 3.69-3.70, 2 La 3.69
Pr 0.1663 0.1663 0.9997  2 La 3.69-3.70, 5 Pm 3.69-3.70, 5 Pr 3.70-3.71
Pr 0.2485 0.2485 0.7484  4 Pr 3.68-3.71, 6 Pm 3.68-3.72, 2 La 3.71
Pr 0.7515 0.7515 0.2516  4 Pr 3.68-3.71, 6 Pm 3.68-3.72, 2 La 3.71
Pr 0.8337 0.8337 0.0003  2 La 3.69-3.70, 5 Pm 3.69-3.70, 5 Pr 3.70-3.71

VASP calculation (PBE) on a relaxed structure of KBaSc2.

Calculated values
Space-group type ... No. 10
Crystal system ... monoclinic
Magnetic moment ... 0.6 μB per formula unit
Formation enthalpy at 0 K ... 0.60 eV per atom
N(E_F) ... 1.77 states/eV/atom
Final energy ... -13.27 eV/f.u.

a b c (Å): 3.5255 6.3352 7.2810
angles (deg): 90.00 102.28 90.00
With the nearest neighbours (Å) after each atom.
Atoms (fractional coordinates):
K 0.0000 0.0000 0.0000  2 K 3.53, 2 Ba 3.69
Ba 0.5000 0.0000 0.5000  2 Ba 3.53, 4 Sc 3.58, 2 K 3.69
Sc 0.3035 0.5000 0.6894  2 Sc 3.11-3.34
Sc 0.6965 0.5000 0.3106  2 Sc 3.11-3.34

VASP calculation (PBE) on a relaxed structure of PrDy5Er.

Calculated values
Space-group type ... No. 15
Crystal system ... monoclinic
Magnetic moment ... 0.0 μB per formula unit
Formation enthalpy at 0 K ... 0.10 eV per atom
N(E_F) ... 1.57 states/eV/atom
Final energy ... -31.63 eV/f.u.

a b c (Å): 6.5222 6.5222 11.4678
angles (deg): 103.29 103.29 95.82
With the nearest neighbours (Å) after each atom.
Atoms (fractional coordinates):
Pr 0.0000 0.5000 0.0000  6 Dy 3.36-3.62
Pr 0.5000 0.0000 0.5000  6 Dy 3.36-3.62
Dy 0.0679 0.2733 0.5351  7 Dy 3.29-3.68, 2 Er 3.36-3.44, 1 Pr 3.53
Dy 0.0844 0.9156 0.2500  6 Dy 3.29-3.58, 1 Er 3.32, 2 Pr 3.36
Dy 0.2733 0.0679 0.0351  7 Dy 3.29-3.68, 2 Er 3.36-3.44, 1 Pr 3.53
Dy 0.3030 0.4470 0.3329  6 Dy 3.35-3.72, 2 Er 3.46-3.58, 1 Pr 3.62
Dy 0.4470 0.3030 0.8329  6 Dy 3.35-3.72, 2 Er 3.46-3.58, 1 Pr 3.62
Dy 0.5530 0.6970 0.1671  6 Dy 3.35-3.72, 2 Er 3.46-3.58, 1 Pr 3.62
Dy 0.6970 0.5530 0.6671  6 Dy 3.35-3.72, 2 Er 3.46-3.58, 1 Pr 3.62
Dy 0.7267 0.9321 0.9649  7 Dy 3.29-3.68, 2 Er 3.36-3.44, 1 Pr 3.53
Dy 0.9156 0.0844 0.7500  6 Dy 3.29-3.58, 1 Er 3.32, 2 Pr 3.36
Dy 0.9321 0.7267 0.4649  7 Dy 3.29-3.68, 2 Er 3.36-3.44, 1 Pr 3.53
Er 0.2590 0.7410 0.7500  9 Dy 3.32-3.58
Er 0.7410 0.2590 0.2500  9 Dy 3.32-3.58

VASP calculation (PBE) on a relaxed structure of Li3SbCl.

Calculated values
Space-group type ... No. 221
Crystal system ... cubic
Magnetic moment ... 0.0 μB per formula unit
N(E_F) ... 0.66 states/eV/atom
ΔE_f (raw) ... -0.84 eV per atom
Final energy ... -15.91 eV/f.u.

a b c (Å): 4.6442 4.6442 4.6442
angles (deg): 90.00 90.00 90.00
With the nearest neighbours (Å) after each atom.
Atoms (fractional coordinates):
Li 0.0000 0.0000 0.5000  2 Cl 2.32
Li 0.0000 0.5000 0.0000  2 Cl 2.32
Li 0.5000 0.0000 0.0000  2 Cl 2.32
Sb 0.5000 0.5000 0.5000  12 Li 3.28
Cl 0.0000 0.0000 0.0000  6 Li 2.32